Density functional theory data (GGA-PBE) for a relaxed structure of BeAl3Cl.

a = 4.5498 Å, b = 4.5498 Å, c = 4.5498 Å
α = 90.00°, β = 90.00°, γ = 90.00°
Last column: nearest neighbours and their distance in Å.
Sites, in units of the cell vectors:
Al 0.5000 0.0000 0.0000  2 Be 2.27
Al 0.0000 0.0000 0.5000  2 Be 2.27
Al 0.0000 0.5000 0.0000  2 Be 2.27
Cl 0.5000 0.5000 0.5000  12 Al 3.22
Be 0.0000 0.0000 0.0000  6 Al 2.27

Properties
formation energy (no corrections): 0.2161 eV per atom
total energy: -15.720 eV/cell
polymorph energy (0 for the lowest one): 0 meV/atom

***

Density functional theory data (GGA-PBE) for a relaxed structure of BeAlCl.

a = 5.5890 Å, b = 5.5890 Å, c = 5.5890 Å
α = 147.65°, β = 147.65°, γ = 46.40°
Last column: nearest neighbours and their distance in Å.
Sites, in units of the cell vectors:
Cl 0.6935 0.6935 0.0000  1 Al 2.71, 4 Be 2.72
Be 0.3488 0.3488 0.0000  4 Al 2.47, 4 Cl 2.72
Al 0.9577 0.9577 0.0000  4 Be 2.47, 1 Cl 2.71

Properties
formation energy (no corrections): 0.2086 eV per atom
total energy: -8.690 eV/cell
polymorph energy (0 for the lowest one): 314 meV/atom

***

Density functional theory data (GGA-PBE) for a relaxed structure of BeAl2Cl.

a = 6.8646 Å, b = 6.8646 Å, c = 6.8646 Å
α = 29.33°, β = 29.33°, γ = 29.33°
Last column: nearest neighbours and their distance in Å.
Sites, in units of the cell vectors:
Be 0.2500 0.2500 0.2500  6 Al 2.34
Al 0.5220 0.5220 0.5220  3 Be 2.34
Al 0.9780 0.9780 0.9780  3 Be 2.34
Cl 0.7500 0.7500 0.7500  6 Al 2.89

Properties
formation energy (no corrections): 0.0567 eV per atom
total energy: -12.831 eV/cell
polymorph energy (0 for the lowest one): 164 meV/atom

***

Density functional theory data (GGA-PBE) for a relaxed structure of BeAl2Cl.

a = 4.9725 Å, b = 4.9725 Å, c = 4.9725 Å
α = 130.63°, β = 130.63°, γ = 72.40°
Last column: nearest neighbours and their distance in Å.
Sites, in units of the cell vectors:
Cl 0.7500 0.2500 0.5000  8 Al 2.89, 4 Be 2.94
Al 0.0000 0.0000 0.0000  4 Cl 2.89, 4 Be 2.89, 4 Al 2.94
Al 0.5000 0.5000 0.0000  4 Cl 2.89, 4 Be 2.89, 4 Al 2.94
Be 0.2500 0.7500 0.5000  8 Al 2.89, 4 Cl 2.94

Properties
formation energy (no corrections): 0.4520 eV per atom
total energy: -11.250 eV/cell
polymorph energy (0 for the lowest one): 559 meV/atom

***

Density functional theory data (GGA-PBE) for a relaxed structure of BeAl2Cl.

a = 4.8742 Å, b = 2.7778 Å, c = 4.8743 Å
α = 90.00°, β = 90.00°, γ = 90.00°
Last column: nearest neighbours and their distance in Å.
Sites, in units of the cell vectors:
Al 0.0000 0.7502 0.8754  2 Cl 2.44
Al 0.5000 0.7503 0.3749  2 Cl 2.44
Cl 0.5000 0.7500 0.8747  4 Al 2.44
Be 0.0000 0.2495 0.3750  2 Be 2.78, 8 Al 2.80-2.81

Properties
formation energy (no corrections): 0.0891 eV per atom
total energy: -12.702 eV/cell
polymorph energy (0 for the lowest one): 196 meV/atom

***

Density functional theory data (GGA-PBE) for a relaxed structure of BeAl2Cl.

a = 3.0083 Å, b = 3.0083 Å, c = 7.1465 Å
α = 90.00°, β = 90.00°, γ = 90.00°
Last column: nearest neighbours and their distance in Å.
Sites, in units of the cell vectors:
Al 0.0000 0.0000 0.0168  8 Al 2.83-3.01, 4 Cl 2.88
Al 0.5000 0.5000 0.2781  4 Be 2.49
Cl 0.5000 0.5000 0.7446  4 Al 2.88, 4 Be 2.94, 4 Cl 3.01
Be 0.0000 0.0000 0.4605  4 Al 2.49

Properties
formation energy (no corrections): 0.1947 eV per atom
total energy: -12.279 eV/cell
polymorph energy (0 for the lowest one): 302 meV/atom

***

Density functional theory data (GGA-PBE) for a relaxed structure of BeAl2Cl.

a = 5.7473 Å, b = 5.7473 Å, c = 5.7473 Å
α = 141.26°, β = 141.26°, γ = 55.94°
Last column: nearest neighbours and their distance in Å.
Sites, in units of the cell vectors:
Al 0.0000 0.0000 0.0000  4 Be 2.70
Al 0.2500 0.7500 0.5000  4 Cl 2.70
Cl 0.7500 0.2500 0.5000  4 Al 2.70
Be 0.5000 0.5000 0.0000  4 Al 2.70

Properties
formation energy (no corrections): 0.4978 eV per atom
total energy: -11.067 eV/cell
polymorph energy (0 for the lowest one): 605 meV/atom

***

Density functional theory data (GGA-PBE) for a relaxed structure of BeAlCl.

a = 8.4156 Å, b = 8.0351 Å, c = 3.2297 Å
α = 85.39°, β = 72.12°, γ = 22.49°
Last column: nearest neighbours and their distance in Å.
Sites, in units of the cell vectors:
Cl 0.2702 0.2702 0.7298  2 Be 2.00
Be 0.6826 0.6826 0.3174  2 Cl 2.00
Al 0.0472 0.0472 0.9528  2 Be 2.58, 2 Al 2.89

Properties
formation energy (no corrections): -0.0179 eV per atom
total energy: -9.369 eV/cell
polymorph energy (0 for the lowest one): 87 meV/atom

***

> Look up the total energy of the eighth one.

-9.369 eV/cell

***

Please write out number 3 again, unchanged.
Density functional theory data (GGA-PBE) for a relaxed structure of BeAl2Cl.

a = 6.8646 Å, b = 6.8646 Å, c = 6.8646 Å
α = 29.33°, β = 29.33°, γ = 29.33°
Last column: nearest neighbours and their distance in Å.
Sites, in units of the cell vectors:
Be 0.2500 0.2500 0.2500  6 Al 2.34
Al 0.5220 0.5220 0.5220  3 Be 2.34
Al 0.9780 0.9780 0.9780  3 Be 2.34
Cl 0.7500 0.7500 0.7500  6 Al 2.89

Properties
formation energy (no corrections): 0.0567 eV per atom
total energy: -12.831 eV/cell
polymorph energy (0 for the lowest one): 164 meV/atom

***

> Look up the formation energy (no corrections) of the seventh one.

0.4978 eV per atom

***

> Which of these has the highest total energy?

number 2